## one
RbBaC2 | PBEsol | optimized geometry

Cell lengths 5.138, 5.138, 9.142 Å; angles 106.32, 106.32, 90.00 degrees
Element x y z (fractional)
C (0.221, 0.875, 0.250)
C (0.029, 0.375, 0.250)
C (0.125, 0.971, 0.750)
C (0.625, 0.779, 0.750)
Ba (0.250, 0.750, 0.500)
Ba (0.000, 0.000, 0.000)
Rb (0.750, 0.250, 0.500)
Rb (0.500, 0.500, 0.000)

Properties
Magnetization ... 0.000 μB per atom
DOS(E_F) ... 0.66 states/eV/atom

## two
RbBaC2 | PBEsol | optimized geometry

Cell lengths 4.941, 4.941, 4.941 Å; angles 60.00, 60.00, 60.00 degrees
Each line ends with the local moment (μB).
Element x y z (fractional)
C (0.250, 0.250, 0.250)  0.25
C (0.750, 0.750, 0.750)  0.25
Ba (0.500, 0.500, 0.500)  0.03
Rb (0.000, 0.000, 0.000)  0.02

Properties
Magnetization ... 0.278 μB per atom
DOS(E_F) ... 0.92 states/eV/atom

Quick ranking, most stable first: two, one.

## one
Ba3Ca | PBEsol | optimized geometry

Cell lengths 4.783, 4.783, 9.378 Å; angles 90.00, 90.00, 90.00 degrees
Element x y z (fractional)
Ca (0.500, 0.500, 0.500)
Ba (0.000, 0.000, 0.735)
Ba (0.500, 0.500, 0.000)
Ba (0.000, 0.000, 0.265)

Properties
Magnetization ... 0.000 μB per atom
DOS(E_F) ... 1.40 states/eV/atom

## two
Ba3Ca | PBEsol | optimized geometry

Cell lengths 4.205, 7.315, 8.104 Å; angles 116.83, 105.04, 90.00 degrees
Element x y z (fractional)
Ca (0.000, 0.333, 0.000)
Ba (0.747, 0.747, 0.494)
Ba (0.253, 0.253, 0.506)
Ba (0.500, 0.834, 0.000)

Properties
Magnetization ... 0.000 μB per atom
DOS(E_F) ... 1.62 states/eV/atom

## three
Ba3Ca | PBEsol | optimized geometry

Cell lengths 4.215, 4.215, 13.848 Å; angles 90.00, 90.00, 120.00 degrees
Element x y z (fractional)
Ca (0.333, 0.667, 0.500)
Ba (0.000, 0.000, 0.259)
Ba (0.000, 0.000, 0.741)
Ba (0.333, 0.667, 0.000)

Properties
Magnetization ... 0.000 μB per atom
DOS(E_F) ... 1.39 states/eV/atom

Quick ranking, most stable first: one, two, three.

## one
BaCa | PBEsol | optimized geometry

Cell lengths 4.653, 4.653, 9.047 Å; angles 90.00, 90.00, 90.00 degrees
Element x y z (fractional)
Ca (0.500, 0.000, 0.605)
Ca (0.000, 0.500, 0.395)
Ba (0.500, 0.000, 0.146)
Ba (0.000, 0.500, 0.854)

Properties
Magnetization ... 0.000 μB per atom
DOS(E_F) ... 1.24 states/eV/atom

## two
BaCa | PBEsol | optimized geometry

Cell lengths 3.902, 6.420, 7.937 Å; angles 90.00, 104.23, 90.00 degrees
Element x y z (fractional)
Ca (0.820, 0.750, 0.639)
Ca (0.180, 0.250, 0.361)
Ba (0.571, 0.750, 0.142)
Ba (0.429, 0.250, 0.858)

Properties
Magnetization ... 0.000 μB per atom
DOS(E_F) ... 1.46 states/eV/atom

Quick ranking, most stable first: one, two.

## one
BaCa | PBEsol | optimized geometry

Cell lengths 4.519, 6.609, 7.701 Å; angles 115.41, 107.06, 90.00 degrees
Element x y z (fractional)
Ca (0.365, 0.115, 0.730)
Ca (0.635, 0.885, 0.270)
Ba (0.883, 0.633, 0.766)
Ba (0.117, 0.367, 0.234)

Properties
Magnetization ... 0.000 μB per atom
DOS(E_F) ... 1.57 states/eV/atom

## two
BaCa | PBEsol | optimized geometry

Cell lengths 4.183, 8.088, 9.949 Å; angles 104.90, 90.00, 104.99 degrees
Element x y z (fractional)
Ca (0.663, 0.326, 0.336)
Ca (0.062, 0.124, 0.613)
Ca (0.719, 0.438, 0.940)
Ba (0.006, 0.012, 0.001)
Ba (0.329, 0.659, 0.664)
Ba (0.387, 0.774, 0.280)

Properties
Magnetization ... 0.000 μB per atom
DOS(E_F) ... 1.50 states/eV/atom

## three
BaCa | PBEsol | optimized geometry

Cell lengths 7.828, 11.398, 13.133 Å; angles 90.00, 90.00, 90.00 degrees
Element x y z (fractional)
Ba (0.750, 0.922, 0.123)
Ba (0.250, 0.078, 0.877)
Ba (0.750, 0.422, 0.877)
Ba (0.250, 0.578, 0.123)
Ba (0.750, 0.409, 0.374)
Ba (0.250, 0.591, 0.626)
Ba (0.750, 0.909, 0.626)
Ba (0.250, 0.091, 0.374)
Ba (0.000, 0.250, 0.125)
Ba (0.500, 0.750, 0.875)
Ba (0.000, 0.750, 0.875)
Ba (0.500, 0.250, 0.125)
Ca (0.750, 0.592, 0.134)
Ca (0.250, 0.408, 0.866)
Ca (0.750, 0.092, 0.866)
Ca (0.250, 0.908, 0.134)
Ca (0.750, 0.073, 0.383)
Ca (0.250, 0.927, 0.617)
Ca (0.750, 0.573, 0.617)
Ca (0.250, 0.427, 0.383)
Ca (0.000, 0.250, 0.624)
Ca (0.500, 0.750, 0.376)
Ca (0.000, 0.750, 0.376)
Ca (0.500, 0.250, 0.624)

Properties
Magnetization ... 0.000 μB per atom
DOS(E_F) ... 1.69 states/eV/atom

## four
BaCa | PBEsol | optimized geometry

Cell lengths 6.473, 6.473, 6.473 Å; angles 60.00, 60.00, 60.00 degrees
Element x y z (fractional)
Ca (0.000, 0.000, 0.000)
Ca (0.250, 0.250, 0.250)
Ba (0.750, 0.750, 0.750)
Ba (0.500, 0.500, 0.500)

Properties
Magnetization ... 0.000 μB per atom
DOS(E_F) ... 1.41 states/eV/atom

Quick ranking, most stable first: four, one, two, three.